Compound: RbNa2Ge
Source: Alexandria via LeMat-Bulk
Functional: GGA-PBE
Structure: optimized geometry

Values from the calculation:
* energy of formation from the pure elements: 0.00 eV per atom
* volume: 153 Å³/f.u.
* D(E_F): 9.95 states/eV/cell
* VASP energy: -2.0533 eV per atom

Structure (extended XYZ):
```
16
Lattice="10.152 0.000 0.000 0.000 6.783 0.000 -3.953 0.000 8.899" Properties=species:S:1:pos:R:3 pbc="T T T"
Rb 0.440 0.547 1.966
Rb -1.537 2.845 6.416
Rb 7.736 3.939 2.483
Rb 5.759 6.236 6.933
Na 1.431 4.196 3.868
Na -0.545 5.979 8.317
Na 1.736 0.479 5.832
Na 3.712 2.913 1.382
Na 2.486 3.871 7.517
Na 4.463 6.305 3.067
Na 6.744 0.805 0.582
Na 4.768 2.587 5.031
Ge 0.858 3.925 0.628
Ge -1.119 6.250 5.078
Ge 7.318 0.533 3.821
Ge 5.341 2.859 8.271
```